VASP calculation (PBE with a Hubbard U) on a geometry-optimized Al3WF structure.

Computed properties:
N(E_F) = 0.5286 states/eV/atom
M_tot = 3.75 μB/f.u.
energy relative to the lowest polymorph listed for this composition = 702.0 meV/atom

```
data_Al3WF
_chemical_formula_sum 'Al3 W1 F1'
_space_group_name_H-M_alt 'P m -3 m'
_space_group_IT_number 221
_space_group_name_Hall '-P 4 2 3'
_cell_length_a 5.118
_cell_length_b 5.118
_cell_length_c 5.118
_cell_angle_alpha 90.00
_cell_angle_beta 90.00
_cell_angle_gamma 90.00
loop_
_atom_site_label
_atom_site_type_symbol
_atom_site_fract_x
_atom_site_fract_y
_atom_site_fract_z
Al1 Al 0.000 0.000 0.500
W1 W 0.000 0.000 0.000
F1 F 0.500 0.500 0.500
```